Entry 1:
A plane-wave DFT calculation with GGA-PBE was carried out for a geometry-optimized Ba2Sb4Ir3Pd structure.

Fermi-level density of states: 4.436 states/eV per cell
Formation energy from raw total energies: -0.575 eV per atom

```
10
Lattice="4.7518 0.0000 0.0000 0.0000 4.7518 0.0000 0.0000 0.0000 10.5865" Properties=species:S:1:pos:R:3 pbc="T T T"
Ba 2.3759 0.0000 2.6517
Ba 0.0000 2.3759 7.9347
Sb 2.3759 2.3759 0.0000
Sb 0.0000 0.0000 0.0000
Sb 2.3759 0.0000 6.6391
Sb 0.0000 2.3759 3.9474
Ir 0.0000 0.0000 5.2932
Ir 2.3759 0.0000 9.3296
Ir 0.0000 2.3759 1.2569
Pd 2.3759 2.3759 5.2932
```

***

Entry 2:
A plane-wave DFT calculation with GGA-PBE was carried out for a geometry-optimized BaScIr2Pd structure.

Fermi-level density of states: 3.288 states/eV per cell

```
5
Lattice="4.7243 0.0000 0.0000 0.0000 5.8812 0.0000 0.0000 0.0000 4.7243" Properties=species:S:1:pos:R:3 pbc="T T T"
Sc 0.0000 0.0000 0.0000
Ir 0.0000 0.0000 2.3621
Ir 2.3621 0.0000 0.0000
Ba 0.0000 2.9406 0.0000
Pd 2.3621 2.9406 2.3621
```

***

Entry 3:
A plane-wave DFT calculation with GGA-PBE was carried out for a geometry-optimized BaSn2IrPd structure.

E above lowest polymorph: 0.0 kJ per mole of atoms
Fermi-level density of states: 2.999 states/eV per cell

```
5
Lattice="4.6838 0.0000 0.0000 0.0000 4.6838 0.0000 -2.3419 -2.3419 5.7786" Properties=species:S:1:pos:R:3 pbc="T T T"
Ba 0.0000 0.0000 0.0000
Sn 2.3419 2.3419 1.6112
Sn 0.0000 0.0000 4.1674
Ir 2.3419 0.0000 2.8893
Pd 0.0000 2.3419 2.8893
```

***

Entry 4:
A plane-wave DFT calculation with GGA-PBE was carried out for a geometry-optimized BaSn2IrPd structure.

E above lowest polymorph: 65.5 kJ per mole of atoms
Fermi-level density of states: 3.939 states/eV per cell

```
5
Lattice="5.0752 0.0000 0.0000 0.0000 5.3611 0.0000 0.0000 0.0000 5.0752" Properties=species:S:1:pos:R:3 pbc="T T T"
Ir 0.0000 2.6806 0.0000
Ba 2.5376 2.6806 2.5376
Pd 0.0000 0.0000 0.0000
Sn 0.0000 0.0000 2.5376
Sn 2.5376 0.0000 0.0000
```

***

Entry 5:
A plane-wave DFT calculation with GGA-PBE was carried out for a geometry-optimized Ba2Sn4Ir3Pd structure.

Fermi-level density of states: 6.667 states/eV per cell

```
10
Lattice="4.7638 0.0000 0.0000 0.0000 4.7638 0.0000 0.0000 0.0000 10.6506" Properties=species:S:1:pos:R:3 pbc="T T T"
Ba 2.3819 0.0000 2.7147
Ba 0.0000 2.3819 7.9358
Sn 2.3819 2.3819 0.0000
Sn 0.0000 0.0000 0.0000
Sn 2.3819 0.0000 6.6260
Sn 0.0000 2.3819 4.0245
Ir 0.0000 0.0000 5.3253
Ir 2.3819 0.0000 9.3206
Ir 0.0000 2.3819 1.3299
Pd 2.3819 2.3819 5.3253
```

***

Entry 6:
A plane-wave DFT calculation with GGA-PBE was carried out for a geometry-optimized Ba3Sn4Ir2Pd2 structure.

Fermi-level density of states: 7.957 states/eV per cell

```
11
Lattice="-4.2583 0.0223 1.7617 1.1702 -3.1444 -3.1592 5.1748 -10.7787 12.6451" Properties=species:S:1:pos:R:3 pbc="T T T"
Ba 3.6899 -7.6858 9.0166
Ba 0.0000 0.0000 0.0000
Ba 1.4849 -3.0929 3.6285
Sn -1.7054 -2.5818 1.9380
Sn 3.7921 -11.3190 9.3095
Sn 0.4673 -7.1073 7.2472
Sn 1.6193 -6.7934 4.0003
Ir -0.3237 -5.4597 5.3143
Ir 2.4104 -8.4411 5.9333
Pd 1.9868 -10.2723 10.9602
Pd 0.0998 -3.6284 0.2873
```

***

Entry 7:
A plane-wave DFT calculation with GGA-PBE was carried out for a geometry-optimized BaVIrPd2 structure.

E above lowest polymorph: 0.0 kJ per mole of atoms
Fermi-level density of states: 5.106 states/eV per cell

```
5
Lattice="4.9002 0.0000 0.0000 0.0000 4.6563 0.0000 0.0000 0.0000 4.9002" Properties=species:S:1:pos:R:3 pbc="T T T"
Ir 0.0000 2.3281 0.0000
Ba 2.4501 2.3281 2.4501
Pd 0.0000 0.0000 2.4501
Pd 2.4501 0.0000 0.0000
V 0.0000 0.0000 0.0000
```

***

Entry 8:
A plane-wave DFT calculation with GGA-PBE was carried out for a geometry-optimized BaVIrPd2 structure.

E above lowest polymorph: 213.0 kJ per mole of atoms
Fermi-level density of states: 9.443 states/eV per cell

```
5
Lattice="5.0516 0.0000 0.0000 0.0000 5.0084 0.0000 0.0000 0.0000 5.0516" Properties=species:S:1:pos:R:3 pbc="T T T"
Ir 2.5258 2.5042 2.5258
Ba 0.0000 0.0000 0.0000
Pd 0.0000 0.0000 2.5258
Pd 2.5258 0.0000 0.0000
V 0.0000 2.5042 0.0000
```

***

Entry 9:
A plane-wave DFT calculation with GGA-PBE was carried out for a geometry-optimized BaYIr2Pd structure.

Fermi-level density of states: 3.998 states/eV per cell

```
5
Lattice="-4.4598 -1.9037 1.1465 -0.6852 -1.8994 -5.8192 2.1521 -4.3409 1.1635" Properties=species:S:1:pos:R:3 pbc="T T T"
Y 0.0000 0.0000 0.0000
Ir 1.0760 -2.1704 0.5818
Ir -2.2299 -0.9519 0.5732
Ba -0.3426 -0.9497 -2.9096
Pd -1.4964 -4.0720 -1.7546
```

***

Entry 10:
A plane-wave DFT calculation with GGA-PBE was carried out for a geometry-optimized Ba2Zn6IrPd structure.

Fermi-level density of states: 4.048 states/eV per cell

```
10
Lattice="6.9708 0.0022 0.0022 0.0022 6.9719 0.0022 3.4884 3.4891 4.9486" Properties=species:S:1:pos:R:3 pbc="T T T"
Ba 6.9732 3.4888 2.4756
Ba 3.4883 6.9744 2.4773
Zn 3.4884 3.4890 2.4649
Zn 5.2233 5.2249 0.0045
Zn 1.7510 5.2241 0.0022
Zn 8.7104 5.2392 4.9507
Zn 5.2381 5.2384 4.9485
Zn 6.9731 6.9742 2.4880
Ir 3.4865 3.4871 0.0022
Pd 0.0000 0.0000 0.0000
```

***

Entry 11:
A plane-wave DFT calculation with GGA-PBE was carried out for a geometry-optimized BaPm3Ir structure.

Fermi-level density of states: 7.430 states/eV per cell

```
5
Lattice="5.7072 0.0000 0.0000 0.0000 5.7072 0.0000 0.0000 0.0000 5.7072" Properties=species:S:1:pos:R:3 pbc="T T T"
Ir 0.0000 0.0000 0.0000
Ba 2.8536 2.8536 2.8536
Pm 0.0000 2.8536 0.0000
Pm 0.0000 0.0000 2.8536
Pm 2.8536 0.0000 0.0000
```

***

Entry 12:
A plane-wave DFT calculation with GGA-PBE was carried out for a geometry-optimized BaPm2Ir structure.

E above lowest polymorph: 1.0 kJ per mole of atoms
Fermi-level density of states: 3.130 states/eV per cell

```
4
Lattice="4.2503 0.0000 0.0000 2.1252 3.6809 0.0000 2.1252 1.2270 9.8559" Properties=species:S:1:pos:R:3 pbc="T T T"
Ir 0.0000 0.0000 0.0000
Ba 4.2503 2.4539 4.9279
Pm 6.3755 3.6809 8.4288
Pm 2.1252 1.2270 1.4271
```

***

Entry 13:
A plane-wave DFT calculation with GGA-PBE was carried out for a geometry-optimized BaPmIr4 structure.

Fermi-level density of states: 7.891 states/eV per cell

```
6
Lattice="5.5146 0.0000 0.0000 2.7573 4.7758 0.0000 2.7573 1.5919 4.5026" Properties=species:S:1:pos:R:3 pbc="T T T"
Ir 5.5146 3.1838 0.5573
Ir 5.5146 1.5867 2.8160
Ir 6.8978 3.9824 2.8160
Ir 4.1314 3.9824 2.8160
Ba 2.7573 1.5919 1.1257
Pm 0.0000 0.0000 0.0000
```

***

Entry 14:
A plane-wave DFT calculation with GGA-PBE was carried out for a geometry-optimized BaPm2Ir structure.

E above lowest polymorph: 0.0 kJ per mole of atoms
Fermi-level density of states: 3.721 states/eV per cell

```
4
Lattice="-1.5233 -3.0624 2.5537 2.1120 -1.0616 3.5542 -4.8272 5.2677 7.0049" Properties=species:S:1:pos:R:3 pbc="T T T"
Ba -2.1013 0.5481 6.5386
Pm -4.1019 4.3086 6.2875
Pm -0.5416 -0.3991 2.7658
Ir 0.3869 -2.7420 4.0774
```

***

Entry 15:
A plane-wave DFT calculation with GGA-PBE was carried out for a geometry-optimized BaPm2Ir structure.

E above lowest polymorph: 11.5 kJ per mole of atoms
Fermi-level density of states: 3.943 states/eV per cell

```
4
Lattice="3.6464 0.0000 0.0000 0.0000 3.6464 0.0000 0.0000 0.0000 10.1378" Properties=species:S:1:pos:R:3 pbc="T T T"
Ir 1.8232 1.8232 0.0000
Ba 1.8232 1.8232 5.0689
Pm 0.0000 0.0000 8.5289
Pm 0.0000 0.0000 1.6089
```

***

Entry 16:
A plane-wave DFT calculation with GGA-PBE was carried out for a geometry-optimized BaPr3Ir structure.

Fermi-level density of states: 8.151 states/eV per cell

```
5
Lattice="5.7894 0.0000 0.0000 0.0000 5.7894 0.0000 0.0000 0.0000 5.7894" Properties=species:S:1:pos:R:3 pbc="T T T"
Pr 0.0000 2.8947 0.0000
Pr 0.0000 0.0000 2.8947
Pr 2.8947 0.0000 0.0000
Ir 0.0000 0.0000 0.0000
Ba 2.8947 2.8947 2.8947
```

***

Entry 17:
A plane-wave DFT calculation with GGA-PBE was carried out for a geometry-optimized BaPr2Ir structure.

E above lowest polymorph: 12.9 kJ per mole of atoms
Fermi-level density of states: 3.835 states/eV per cell

```
4
Lattice="3.6891 0.0000 0.0000 0.0000 3.6891 0.0000 0.0000 0.0000 10.2942" Properties=species:S:1:pos:R:3 pbc="T T T"
Pr 0.0000 0.0000 8.6595
Pr 0.0000 0.0000 1.6347
Ir 1.8445 1.8445 0.0000
Ba 1.8445 1.8445 5.1471
```

***

Entry 18:
A plane-wave DFT calculation with GGA-PBE was carried out for a geometry-optimized BaPr2Ir structure.

E above lowest polymorph: 11.4 kJ per mole of atoms
Fermi-level density of states: 4.896 states/eV per cell

```
4
Lattice="4.2063 0.0000 0.0000 2.1031 3.6427 0.0000 2.1031 1.2142 11.1257" Properties=species:S:1:pos:R:3 pbc="T T T"
Pr 2.1031 1.2142 7.0718
Pr 6.3094 3.6427 4.0539
Ir 4.2063 2.4285 5.5629
Ba 0.0000 0.0000 0.0000
```

***

Entry 19:
A plane-wave DFT calculation with GGA-PBE was carried out for a geometry-optimized BaPr2Ir structure.

E above lowest polymorph: 0.0 kJ per mole of atoms
Fermi-level density of states: 3.797 states/eV per cell

```
4
Lattice="-3.5888 1.4143 1.9202 -3.6678 0.3002 -2.2414 -4.7146 -8.6731 2.4113" Properties=species:S:1:pos:R:3 pbc="T T T"
Ba -5.9767 -3.4438 1.0354
Pr -4.3804 -7.3274 2.0447
Pr -2.7590 -0.7983 0.2661
Ir -4.8405 1.1316 -0.2110
```

***

Entry 20:
A plane-wave DFT calculation with GGA-PBE was carried out for a geometry-optimized BaPrIr4 structure.

Fermi-level density of states: 8.232 states/eV per cell

```
6
Lattice="5.5337 0.0000 0.0000 2.7669 4.7923 0.0000 2.7669 1.5974 4.5183" Properties=species:S:1:pos:R:3 pbc="T T T"
Pr 0.0000 0.0000 0.0000
Ir 5.5337 3.1949 0.5600
Ir 5.5337 1.5929 2.8255
Ir 6.9210 3.9959 2.8255
Ir 4.1464 3.9959 2.8255
Ba 2.7669 1.5974 1.1296
```

***

Entry 21:
A plane-wave DFT calculation with GGA-PBE was carried out for a geometry-optimized Ba8Ir2Pt structure.

Fermi-level density of states: 6.595 states/eV per cell

```
11
Lattice="-5.3672 -4.5347 -2.4234 6.0419 -3.9912 -5.9273 -1.0167 -3.4069 8.6518" Properties=species:S:1:pos:R:3 pbc="T T T"
Ba 2.1629 -5.0850 -1.7618
Ba -2.5049 -6.8477 2.0627
Ba 0.7727 -7.3691 -5.3859
Ba -0.6010 -2.8419 1.2979
Ba 1.9475 -6.5890 2.6778
Ba -1.1146 -4.5637 5.6869
Ba 0.2590 -9.0908 -0.9968
Ba -2.2895 -5.3438 -2.3767
Ir 0.8096 -4.0464 3.5529
Ir -1.1515 -7.8863 -3.2520
Pt -1.0167 -3.4069 8.6517
```

***

Entry 22:
A plane-wave DFT calculation with GGA-PBE was carried out for a geometry-optimized BaIr2Pt structure.

E above lowest polymorph: 40.9 kJ per mole of atoms
Fermi-level density of states: 5.044 states/eV per cell

```
4
Lattice="4.1218 0.0000 0.0000 0.0000 2.9191 0.0922 0.0000 1.2868 7.0961" Properties=species:S:1:pos:R:3 pbc="T T T"
Ir 0.0000 0.1781 0.6915
Ir 2.0609 1.6172 1.5173
Ba 2.0609 2.9600 5.3690
Pt 0.0000 1.5534 3.2047
```

***

Entry 23:
A plane-wave DFT calculation with GGA-PBE was carried out for a geometry-optimized BaIrPt2 structure.

E above lowest polymorph: 68.8 kJ per mole of atoms
Fermi-level density of states: 4.684 states/eV per cell

```
4
Lattice="4.3855 0.0000 0.0000 0.0000 4.3883 0.0000 0.0000 0.0000 4.1985" Properties=species:S:1:pos:R:3 pbc="T T T"
Ir 0.0000 2.1942 2.0993
Ba 2.1927 0.0000 2.0993
Pt 0.0000 0.0000 0.0000
Pt 2.1927 2.1942 0.0000
```

***

Entry 24:
A plane-wave DFT calculation with GGA-PBE was carried out for a geometry-optimized BaIr2Pt2 structure.

Fermi-level density of states: 6.991 states/eV per cell

```
5
Lattice="-2.4858 -3.7778 -0.4943 0.6739 0.1450 -4.4967 3.3161 -4.6653 -1.9547" Properties=species:S:1:pos:R:3 pbc="T T T"
Ir 0.0829 -2.4836 -2.3689
Ir 1.4213 -5.8145 -4.5769
Ba 0.0000 0.0000 0.0000
Pt -0.0378 -5.1298 -2.4723
Pt 1.5420 -3.1684 -4.4735
```

***

Entry 25:
A plane-wave DFT calculation with GGA-PBE was carried out for a geometry-optimized BaIrPt2 structure.

E above lowest polymorph: 48.6 kJ per mole of atoms
Fermi-level density of states: 4.118 states/eV per cell

```
4
Lattice="-1.4116 2.1840 -3.5050 -2.5089 -1.5689 0.0329 -4.4949 3.5293 4.0094" Properties=species:S:1:pos:R:3 pbc="T T T"
Ir -6.5774 2.8776 1.7248
Ba -3.1551 1.1028 1.9579
Pt -4.8967 2.9635 3.8186
Pt -1.7830 1.7101 -0.9335
```

***

Entry 26:
A plane-wave DFT calculation with GGA-PBE was carried out for a geometry-optimized BaIrPt3 structure.

E above lowest polymorph: 0.0 kJ per mole of atoms
Fermi-level density of states: 6.839 states/eV per cell

```
5
Lattice="-0.8420 0.4491 4.8911 3.2998 -3.6240 0.9008 3.6382 3.3909 0.3149" Properties=species:S:1:pos:R:3 pbc="T T T"
Ir 0.0000 0.0000 0.0000
Ba 3.0480 0.1080 3.0534
Pt 1.6499 -1.8120 0.4504
Pt 1.8191 1.6955 0.1575
Pt -0.4210 0.2246 2.4456
```

***

Entry 27:
A plane-wave DFT calculation with GGA-PBE was carried out for a geometry-optimized BaIrPt structure.

E above lowest polymorph: 29.2 kJ per mole of atoms
Fermi-level density of states: 3.412 states/eV per cell

```
3
Lattice="6.0896 -0.0087 0.0096 4.9981 3.4789 0.0125 1.0915 0.3389 3.4711" Properties=species:S:1:pos:R:3 pbc="T T T"
Ir 3.8319 1.1973 2.5256
Ba 1.1042 0.3428 3.4667
Pt 8.3345 2.6077 0.9720
```

***

Entry 28:
A plane-wave DFT calculation with GGA-PBE was carried out for a geometry-optimized Ba4IrPt structure.

E above lowest polymorph: 118.5 kJ per mole of atoms
Fermi-level density of states: 4.449 states/eV per cell

```
6
Lattice="-4.5729 -3.9282 -2.7156 -5.9087 -0.6823 2.8876 -5.3756 2.6341 -2.8074" Properties=species:S:1:pos:R:3 pbc="T T T"
Ba -8.2325 -2.7034 -2.3450
Ba -8.6334 0.5741 -2.3908
Ba -8.8997 -1.0822 0.4536
Ba -5.9486 -0.7414 -0.9887
Ir -11.8928 -1.4824 -1.9766
Pt 0.0000 0.0000 0.0000
```

***

Number 1: E -5.786 eV per atom. Number 2: E -5.271 eV per atom. Number 3: E -5.309 eV per atom. Number 4: E -4.630 eV per atom. Number 5: E -5.652 eV per atom. Number 6: E -4.981 eV per atom. Number 7: E -5.896 eV per atom. Number 8: E -3.688 eV per atom. Number 9: E -4.962 eV per atom. Number 10: E -2.886 eV per atom. Number 11: E -5.245 eV per atom. Number 12: E -5.439 eV per atom. Number 13: E -7.344 eV per atom. Number 14: E -5.449 eV per atom. Number 15: E -5.330 eV per atom. Number 16: E -5.226 eV per atom. Number 17: E -5.302 eV per atom. Number 18: E -5.318 eV per atom. Number 19: E -5.436 eV per atom. Number 20: E -7.333 eV per atom. Number 21: E -3.642 eV per atom. Number 22: E -6.206 eV per atom. Number 23: E -5.400 eV per atom. Number 24: E -6.350 eV per atom. Number 25: E -5.610 eV per atom. Number 26: E -5.552 eV per atom. Number 27: E -5.609 eV per atom. Number 28: E -2.870 eV per atom.